Record 1
Density functional theory data (meta-GGA SCAN) for K3EuSi3H2O10 at its PBEsol-relaxed geometry.

Summary:
SG: Pnma

Lattice parameters (Å, degrees): 13.2605 13.5289 5.9469 90.00 90.00 90.00
Last column: nearest neighbours and their distance in Å.
Fractional positions:
1 K 0.1284 0.2500 0.0709  4 O 2.64-2.92, 2 H 2.84
2 K 0.1372 0.0176 0.4139  6 O 2.73-2.99, 1 H 3.04
3 K 0.1372 0.4824 0.4139  6 O 2.73-2.99, 1 H 3.04
4 K 0.3628 0.5177 0.9139  6 O 2.73-2.99, 1 H 3.04
5 K 0.3628 0.9824 0.9139  6 O 2.73-2.99, 1 H 3.04
6 K 0.3716 0.7500 0.5709  4 O 2.64-2.92, 2 H 2.84
7 K 0.6284 0.2500 0.4291  4 O 2.64-2.92, 2 H 2.84
8 K 0.6372 0.0176 0.0861  6 O 2.73-2.99, 1 H 3.04
9 K 0.6372 0.4824 0.0861  6 O 2.73-2.99, 1 H 3.04
10 K 0.8628 0.5177 0.5861  6 O 2.73-2.99, 1 H 3.04
11 K 0.8628 0.9824 0.5861  6 O 2.73-2.99, 1 H 3.04
12 K 0.8716 0.7500 0.9291  4 O 2.64-2.92, 2 H 2.84
13 Eu 0.0406 0.7500 0.4178  6 O 2.26-2.38
14 Eu 0.4594 0.2500 0.9178  6 O 2.26-2.38
15 Eu 0.5406 0.7500 0.0822  6 O 2.26-2.38
16 Eu 0.9594 0.2500 0.5822  6 O 2.26-2.38
17 Si 0.0969 0.5996 0.9114  4 O 1.62-1.67
18 Si 0.0969 0.9004 0.9114  4 O 1.62-1.67
19 Si 0.2502 0.2500 0.5734  4 O 1.61-1.67
20 Si 0.2498 0.7500 0.0734  4 O 1.61-1.67
21 Si 0.4031 0.0996 0.4114  4 O 1.62-1.67
22 Si 0.4031 0.4004 0.4114  4 O 1.62-1.67
23 Si 0.5969 0.5996 0.5886  4 O 1.62-1.67
24 Si 0.5969 0.9004 0.5886  4 O 1.62-1.67
25 Si 0.7502 0.2500 0.9266  4 O 1.61-1.67
26 Si 0.7498 0.7500 0.4266  4 O 1.61-1.67
27 Si 0.9031 0.0996 0.0886  4 O 1.62-1.67
28 Si 0.9031 0.4004 0.0886  4 O 1.62-1.67
29 H 0.0678 0.0653 0.8895  1 O 1.04
30 H 0.0678 0.4347 0.8895  1 O 1.04
31 H 0.4322 0.5653 0.3895  1 O 1.04
32 H 0.4322 0.9347 0.3895  1 O 1.04
33 H 0.5678 0.0653 0.6105  1 O 1.04
34 H 0.5678 0.4347 0.6105  1 O 1.04
35 H 0.9322 0.5653 0.1105  1 O 1.04
36 H 0.9322 0.9347 0.1105  1 O 1.04
37 O 0.0290 0.6282 0.1310  1 H 1.54, 1 Si 1.63
38 O 0.0290 0.8718 0.1310  1 H 1.54, 1 Si 1.63
39 O 0.0401 0.6243 0.6776  1 Si 1.62
40 O 0.0401 0.8757 0.6776  1 Si 1.62
41 O 0.1295 0.0198 0.9163  1 H 1.04
42 O 0.1292 0.2500 0.5594  1 Si 1.61
43 O 0.1295 0.4802 0.9163  1 H 1.04
44 O 0.2058 0.7500 0.3255  1 Si 1.61
45 O 0.2096 0.6525 0.9273  2 Si 1.66-1.67
46 O 0.2096 0.8475 0.9273  2 Si 1.66-1.67
47 O 0.2904 0.1525 0.4273  2 Si 1.66-1.67
48 O 0.2904 0.3475 0.4273  2 Si 1.66-1.67
49 O 0.2942 0.2500 0.8255  1 Si 1.61
50 O 0.3705 0.5198 0.4163  1 H 1.04
51 O 0.3708 0.7500 0.0594  1 Si 1.61
52 O 0.3705 0.9802 0.4163  1 H 1.04
53 O 0.4599 0.1243 0.1776  1 Si 1.62
54 O 0.4599 0.3757 0.1776  1 Si 1.62
55 O 0.4710 0.1282 0.6310  1 H 1.54, 1 Si 1.63
56 O 0.4710 0.3718 0.6310  1 H 1.54, 1 Si 1.63
57 O 0.5290 0.6282 0.3690  1 H 1.54, 1 Si 1.63
58 O 0.5290 0.8718 0.3690  1 H 1.54, 1 Si 1.63
59 O 0.5401 0.6243 0.8224  1 Si 1.62
60 O 0.5401 0.8757 0.8224  1 Si 1.62
61 O 0.6295 0.0198 0.5837  1 H 1.04
62 O 0.6292 0.2500 0.9406  1 Si 1.61
63 O 0.6295 0.4802 0.5837  1 H 1.04
64 O 0.7058 0.7500 0.1745  1 Si 1.61
65 O 0.7096 0.6525 0.5727  2 Si 1.66-1.67
66 O 0.7096 0.8475 0.5727  2 Si 1.66-1.67
67 O 0.7904 0.1525 0.0727  2 Si 1.66-1.67
68 O 0.7904 0.3475 0.0727  2 Si 1.66-1.67
69 O 0.7942 0.2500 0.6745  1 Si 1.61
70 O 0.8705 0.5198 0.0837  1 H 1.04
71 O 0.8708 0.7500 0.4406  1 Si 1.61
72 O 0.8705 0.9802 0.0837  1 H 1.04
73 O 0.9599 0.1243 0.3224  1 Si 1.62
74 O 0.9599 0.3757 0.3224  1 Si 1.62
75 O 0.9710 0.1282 0.8690  1 H 1.54, 1 Si 1.63
76 O 0.9710 0.3718 0.8690  1 H 1.54, 1 Si 1.63

=====

Record 2
Density functional theory data (meta-GGA SCAN) for Eu2MgH6 at its PBEsol-relaxed geometry.

Summary:
SG: P-3m1

Lattice parameters (Å, degrees): 5.2888 5.2888 3.9949 90.00 90.00 120.00
Last column: nearest neighbours and their distance in Å.
Fractional positions:
1 Eu 0.3333 0.6667 0.2597  12 H 2.42-2.65
2 Eu 0.6667 0.3333 0.7403  12 H 2.42-2.65
3 Mg 0.0000 0.0000 0.0000  6 H 1.94
4 H 0.1833 0.3667 0.7589  1 Mg 1.94
5 H 0.1833 0.8167 0.7589  1 Mg 1.94
6 H 0.3667 0.1833 0.2411  1 Mg 1.94
7 H 0.6333 0.8167 0.7589  1 Mg 1.94
8 H 0.8167 0.1833 0.2411  1 Mg 1.94
9 H 0.8167 0.6333 0.2411  1 Mg 1.94

=====

Record 3
Density functional theory data (meta-GGA SCAN) for EuMg2H6 at its PBEsol-relaxed geometry.

Summary:
SG: P4/mmm

Lattice parameters (Å, degrees): 3.6693 3.6693 7.9689 90.00 90.00 90.00
Last column: nearest neighbours and their distance in Å.
Fractional positions:
1 Eu 0.0000 0.0000 0.0000  12 H 2.43-2.59
2 Mg 0.5000 0.5000 0.2734  5 H 1.81-1.92
3 Mg 0.5000 0.5000 0.7266  5 H 1.81-1.92
4 H 0.0000 0.5000 0.2005  2 Mg 1.92
5 H 0.0000 0.5000 0.7995  2 Mg 1.92
6 H 0.5000 0.0000 0.2005  2 Mg 1.92
7 H 0.5000 0.0000 0.7995  2 Mg 1.92
8 H 0.5000 0.5000 0.0000  2 Mg 2.18, 8 H 2.43
9 H 0.5000 0.5000 0.5000  2 Mg 1.81

=====

M_tot (μB/f.u.)
6.00; 14.00; 7.00
E (eV per atom)
-11.948; -15.337; -9.803